# 1
Entry from Alexandria: a relaxed CaBe3 crystal (PBE).

Computed properties:
**Formation energy**: 0.885 eV/atom
**Volume**: 15.5 Å³ per atom
**Fermi-level density of states**: 0.485 states/eV per atom
**Total DFT energy (no corrections)**: -2.410 eV per atom

Geometry as CIF:
```
data_CaBe3
_cell_length_a 4.990
_cell_length_b 4.990
_cell_length_c 4.990
_cell_angle_alpha 90.00
_cell_angle_beta 90.00
_cell_angle_gamma 90.00
_symmetry_space_group_name_H-M 'P m -3 n'
_symmetry_Int_Tables_number 223
_symmetry_space_group_name_Hall '-P 4n 2 3'
loop_
_atom_site_label
_atom_site_type_symbol
_atom_site_fract_x
_atom_site_fract_y
_atom_site_fract_z
Ca1 Ca 0.000 0.000 0.000
Be1 Be 0.000 0.250 0.500
```

=====

# 2
Entry from Alexandria: a relaxed SrSnAsSe2 crystal (PBE).

Computed properties:
**Volume**: 35.7 Å³ per atom
**Fermi-level density of states**: 1.366 states/eV per atom
**Raw formation energy**: 0.3106 eV/atom
**Total DFT energy (no corrections)**: -3.150 eV per atom

Geometry as CIF:
```
data_SrSnAsSe2
_cell_length_a 5.662
_cell_length_b 5.662
_cell_length_c 5.574
_cell_angle_alpha 90.00
_cell_angle_beta 90.00
_cell_angle_gamma 90.00
_symmetry_space_group_name_H-M 'P 4/m m m'
_symmetry_Int_Tables_number 123
_symmetry_space_group_name_Hall '-P 4 2'
loop_
_atom_site_label
_atom_site_type_symbol
_atom_site_fract_x
_atom_site_fract_y
_atom_site_fract_z
Sr1 Sr 0.000 0.000 0.000
Sn1 Sn 0.500 0.500 0.500
As1 As 0.000 0.000 0.500
Se1 Se 0.000 0.500 0.000
```

=====

# 3
Entry from Alexandria: a relaxed Dy2Tm3Tl crystal (PBE).

Computed properties:
**Formation energy**: -0.106 eV/atom
**Volume**: 29.1 Å³ per atom
**Fermi-level density of states**: 1.015 states/eV per atom
**Total DFT energy (no corrections)**: -4.270 eV per atom

Geometry as CIF:
```
data_Dy2Tm3Tl
_cell_length_a 4.811
_cell_length_b 14.977
_cell_length_c 4.840
_cell_angle_alpha 90.00
_cell_angle_beta 90.00
_cell_angle_gamma 90.00
_symmetry_space_group_name_H-M 'C m m m'
_symmetry_Int_Tables_number 65
_symmetry_space_group_name_Hall '-C 2 2'
loop_
_atom_site_label
_atom_site_type_symbol
_atom_site_fract_x
_atom_site_fract_y
_atom_site_fract_z
Dy1 Dy 0.000 0.162 0.000
Tm1 Tm 0.000 0.000 0.500
Tm2 Tm 0.000 0.331 0.500
Tl1 Tl 0.000 0.500 0.000
```

=====

The following total magnetic moment values (in μB/atom) correspond, in order, to the records above: 0.00, 0.00, 0.00.